1.
AlV2Mo: relaxed, GGA-PBE.

The space group is I-42d (No. 122) and the conventional cell measures 6.945, 6.945 and 5.240 Å, with angles of 90.00, 90.00 and 90.00 degrees. The inequivalent atoms are Al at (0.000, 0.000, 0.000), V at (0.226, 0.250, 0.625) and Mo at (0.000, 0.000, 0.500).

For the formation energy, the calculation gives 506.5 meV per atom. Its crystal system is tetragonal. The density of states at the Fermi level comes out at 1.06 states/eV per atom.



2.
KNaHfCl6: relaxed, GGA-PBE.

The space group is P-31c (No. 163) and the conventional cell measures 7.0207, 7.0207 and 13.2922 Å, with angles of 90.00, 90.00 and 120.00 degrees. The inequivalent atoms are K at (0.0000, 0.0000, 0.0000), Na at (0.3333, 0.6667, 0.2500), Hf at (0.3333, 0.6667, 0.7500) and Cl at (0.0394, 0.3878, 0.6426).

The value obtained for the raw formation energy is -17.24 eV per formula unit. Its crystal system is trigonal. The density of states at the Fermi level comes out at 0.00 states/eV per atom.



3.
LiTmMgAl: relaxed, GGA-PBE.

The space group is F-43m (No. 216) and the conventional cell measures 6.925, 6.925 and 6.925 Å, with angles of 90.00, 90.00 and 90.00 degrees. The inequivalent atoms are Li at (0.000, 0.000, 0.000), Tm at (0.250, 0.250, 0.750), Mg at (0.250, 0.250, 0.250) and Al at (0.000, 0.000, 0.500).

For the formation energy, the calculation gives -180.6 meV per atom. Its crystal system is cubic. The density of states at the Fermi level comes out at 0.62 states/eV per atom.



4.
NaMgIn2Ga: relaxed, GGA-PBE.

The space group is P4/mmm (No. 123) and the conventional cell measures 5.426, 5.426 and 5.597 Å, with angles of 90.00, 90.00 and 90.00 degrees. The inequivalent atoms are Na at (0.000, 0.000, 0.000), Mg at (0.000, 0.000, 0.500), In at (0.000, 0.500, 0.500) and Ga at (0.500, 0.500, 0.000).

The value obtained for the energy above the lowest structure with this stoichiometry is 156 meV per atom. For the formation energy, the calculation gives 397.9 meV per atom. Its crystal system is tetragonal. The density of states at the Fermi level comes out at 0.48 states/eV per atom.



What did the third record say?
LiTmMgAl: relaxed, GGA-PBE.

The space group is F-43m (No. 216) and the conventional cell measures 6.925, 6.925 and 6.925 Å, with angles of 90.00, 90.00 and 90.00 degrees. The inequivalent atoms are Li at (0.000, 0.000, 0.000), Tm at (0.250, 0.250, 0.750), Mg at (0.250, 0.250, 0.250) and Al at (0.000, 0.000, 0.500).

For the formation energy, the calculation gives -180.6 meV per atom. Its crystal system is cubic. The density of states at the Fermi level comes out at 0.62 states/eV per atom.